1.
Density functional theory data (PBE) for crystalline LiLu2Au at its relaxed geometry.

Geometry as POSCAR:
```
LiLu2Au
1.0
6.916 0.000 0.000
0.000 6.916 0.000
0.000 0.000 6.916
Li Lu Au
4 8 4
Direct
0.000 0.000 0.000
0.000 0.500 0.500
0.500 0.000 0.500
0.500 0.500 0.000
0.000 0.000 0.500
0.000 0.500 0.000
0.250 0.250 0.750
0.250 0.750 0.250
0.500 0.000 0.000
0.500 0.500 0.500
0.750 0.250 0.250
0.750 0.750 0.750
0.250 0.250 0.250
0.250 0.750 0.750
0.750 0.250 0.750
0.750 0.750 0.250
```

Results
As for the space group: F-43m, No. 216. The total energy comes out at -3.74 eV/atom.

---

2.
Density functional theory data (PBE) for crystalline GdZrS2I2 at its relaxed geometry.

Geometry as POSCAR:
```
GdZrS2I2
1.0
4.050 0.000 0.000
0.000 5.285 0.000
0.000 0.000 9.287
Gd Zr S I
1 1 2 2
Direct
0.000 0.000 0.000
0.500 0.500 0.792
0.000 0.500 0.965
0.500 0.000 0.796
0.000 0.500 0.559
0.500 0.000 0.248
```

Results
As for the space group: Pmm2, No. 25. The total energy comes out at -5.58 eV/atom.

---

3.
Density functional theory data (PBE) for crystalline Er2Lu2C3 at its relaxed geometry.

Geometry as POSCAR:
```
Er2Lu2C3
1.0
12.814 0.000 0.000
0.000 3.627 0.000
-2.608 0.000 5.391
Er Lu C
4 4 6
Direct
0.135 0.000 0.492
0.365 0.500 0.508
0.635 0.500 0.492
0.865 0.000 0.508
0.134 0.500 0.944
0.366 0.000 0.056
0.634 0.000 0.944
0.866 0.500 0.056
0.000 0.500 0.500
0.220 0.000 0.207
0.280 0.500 0.793
0.500 0.000 0.500
0.720 0.500 0.207
0.780 0.000 0.793
```

Results
As for the space group: C2/m, No. 12. The excess energy over the best structure of this formula in the dataset is 0.0000 eV/atom.

---

4.
Density functional theory data (PBE) for crystalline YEr2Al3AgPd2 at its relaxed geometry.

Geometry as POSCAR:
```
YEr2Al3AgPd2
1.0
3.854 0.000 0.000
0.000 6.404 3.678
0.000 -6.404 3.678
Y Er Al Ag Pd
1 2 3 1 2
Direct
0.000 0.000 0.000
0.000 0.413 0.827
0.000 0.827 0.413
0.500 0.158 0.414
0.500 0.414 0.158
0.500 0.670 0.670
0.000 0.416 0.416
0.500 0.081 0.743
0.500 0.743 0.081
```

Results
As for the space group: Amm2, No. 38. The total energy comes out at -5.16 eV/atom.

---

5.
Density functional theory data (PBE) for crystalline HoPuU at its relaxed geometry.

Geometry as POSCAR:
```
HoPuU
1.0
6.952 0.000 0.000
0.000 6.952 0.000
0.000 0.000 6.952
Ho Pu U
4 4 4
Direct
0.000 0.000 0.000
0.000 0.500 0.500
0.500 0.000 0.500
0.500 0.500 0.000
0.250 0.250 0.250
0.250 0.750 0.750
0.750 0.250 0.750
0.750 0.750 0.250
0.000 0.000 0.500
0.000 0.500 0.000
0.500 0.000 0.000
0.500 0.500 0.500
```

Results
The value obtained for the formation enthalpy at 0 K is 0.84 eV/atom. As for the space group: F-43m, No. 216. The excess energy over the best structure of this formula in the dataset is 0.0000 eV/atom.

---

6.
Density functional theory data (PBE) for crystalline Cu7S4 at its relaxed geometry.

Geometry as POSCAR:
```
Cu7S4
1.0
7.867 0.000 0.000
0.000 7.919 0.000
0.000 0.000 10.876
Cu S
28 16
Direct
0.016 0.250 0.090
0.017 0.250 0.340
0.081 0.750 0.329
0.161 0.022 0.938
0.161 0.478 0.938
0.225 0.088 0.661
0.225 0.412 0.661
0.275 0.588 0.161
0.275 0.912 0.161
0.339 0.522 0.438
0.339 0.978 0.438
0.419 0.250 0.829
0.483 0.750 0.840
0.484 0.750 0.590
0.516 0.250 0.410
0.517 0.250 0.160
0.581 0.750 0.171
0.661 0.022 0.562
0.661 0.478 0.562
0.725 0.088 0.839
0.725 0.412 0.839
0.775 0.588 0.339
0.775 0.912 0.339
0.839 0.522 0.062
0.839 0.978 0.062
0.919 0.250 0.671
0.983 0.750 0.660
0.984 0.750 0.910
0.007 0.000 0.232
0.007 0.500 0.232
0.208 0.750 0.517
0.237 0.250 0.483
0.263 0.750 0.983
0.292 0.250 0.017
0.493 0.000 0.732
0.493 0.500 0.732
0.507 0.000 0.268
0.507 0.500 0.268
0.708 0.750 0.983
0.737 0.250 0.017
0.763 0.750 0.517
0.792 0.250 0.483
0.993 0.000 0.768
0.993 0.500 0.768
```

Results
As for the space group: Pnma, No. 62. The total energy comes out at -4.03 eV/atom.

---

7.
Density functional theory data (PBE) for crystalline Ba2HfBiS6 at its relaxed geometry.

Geometry as POSCAR:
```
Ba2HfBiS6
1.0
0.000 5.176 5.176
5.176 0.000 5.176
5.176 5.176 0.000
Ba Hf Bi S
2 1 1 6
Direct
0.250 0.250 0.250
0.750 0.750 0.750
0.000 0.000 0.000
0.500 0.500 0.500
0.241 0.241 0.759
0.241 0.759 0.241
0.241 0.759 0.759
0.759 0.241 0.241
0.759 0.241 0.759
0.759 0.759 0.241
```

Results
As for the space group: Fm-3m, No. 225. The total energy comes out at -5.52 eV/atom.

---

8.
Density functional theory data (PBE) for crystalline GdMgZn at its relaxed geometry.

Geometry as POSCAR:
```
GdMgZn
1.0
4.898 0.000 0.000
-2.449 4.242 0.000
0.000 0.000 9.894
Gd Mg Zn
3 3 3
Direct
0.000 0.000 0.000
0.000 0.000 0.345
0.667 0.333 0.746
0.000 0.000 0.651
0.333 0.667 0.183
0.333 0.667 0.849
0.333 0.667 0.527
0.667 0.333 0.152
0.667 0.333 0.449
```

Results
As for the space group: P3m1, No. 156. The total energy comes out at -2.59 eV/atom.

---

9.
Density functional theory data (PBE) for crystalline HoRe2O4 at its relaxed geometry.

Geometry as POSCAR:
```
HoRe2O4
1.0
0.000 4.487 4.487
4.487 0.000 4.487
4.487 4.487 0.000
Ho Re O
2 4 8
Direct
0.125 0.125 0.125
0.875 0.875 0.875
0.000 0.500 0.500
0.500 0.000 0.500
0.500 0.500 0.000
0.500 0.500 0.500
0.263 0.263 0.263
0.263 0.263 0.711
0.263 0.711 0.263
0.289 0.737 0.737
0.711 0.263 0.263
0.737 0.289 0.737
0.737 0.737 0.289
0.737 0.737 0.737
```

Results
As for the space group: Fd-3m, No. 227. The total energy comes out at -8.18 eV/atom.

---

10.
Density functional theory data (PBE) for crystalline KNdAuSe3 at its relaxed geometry.

Geometry as POSCAR:
```
KNdAuSe3
1.0
2.102 -7.626 0.000
2.102 7.626 0.000
0.000 0.000 10.988
K Nd Au Se
2 2 2 6
Direct
0.246 0.754 0.750
0.754 0.246 0.250
0.000 0.000 0.000
0.000 0.000 0.500
0.470 0.530 0.250
0.530 0.470 0.750
0.078 0.922 0.250
0.368 0.632 0.060
0.368 0.632 0.440
0.632 0.368 0.560
0.632 0.368 0.940
0.922 0.078 0.750
```

Results
As for the space group: Cmcm, No. 63. The total energy comes out at -4.37 eV/atom.

---

11.
Density functional theory data (PBE) for crystalline CoReSbIr at its relaxed geometry.

Geometry as POSCAR:
```
CoReSbIr
1.0
6.258 0.000 0.000
0.000 6.258 0.000
0.000 0.000 6.258
Co Re Sb Ir
4 4 4 4
Direct
0.000 0.000 0.000
0.000 0.500 0.500
0.500 0.000 0.500
0.500 0.500 0.000
0.000 0.000 0.500
0.000 0.500 0.000
0.500 0.000 0.000
0.500 0.500 0.500
0.250 0.250 0.750
0.250 0.750 0.250
0.750 0.250 0.250
0.750 0.750 0.750
0.250 0.250 0.250
0.250 0.750 0.750
0.750 0.250 0.750
0.750 0.750 0.250
```

Results
As for the space group: F-43m, No. 216. The excess energy over the best structure of this formula in the dataset is 0.0000 eV/atom.

---

12.
Density functional theory data (PBE) for crystalline KTlTc at its relaxed geometry.

Geometry as POSCAR:
```
KTlTc
1.0
7.166 0.000 0.000
0.000 7.166 0.000
0.000 0.000 7.166
K Tl Tc
4 4 4
Direct
0.000 0.000 0.000
0.000 0.500 0.500
0.500 0.000 0.500
0.500 0.500 0.000
0.000 0.000 0.500
0.000 0.500 0.000
0.500 0.000 0.000
0.500 0.500 0.500
0.250 0.250 0.250
0.250 0.750 0.750
0.750 0.250 0.750
0.750 0.750 0.250
```

Results
As for the space group: F-43m, No. 216. The excess energy over the best structure of this formula in the dataset is 0.0000 eV/atom.

---

13.
Density functional theory data (PBE) for crystalline AcSiIr at its relaxed geometry.

Geometry as POSCAR:
```
AcSiIr
1.0
6.709 0.000 0.000
0.000 6.709 0.000
0.000 0.000 6.709
Ac Si Ir
4 4 4
Direct
0.000 0.000 0.000
0.000 0.500 0.500
0.500 0.000 0.500
0.500 0.500 0.000
0.000 0.000 0.500
0.000 0.500 0.000
0.500 0.000 0.000
0.500 0.500 0.500
0.250 0.250 0.750
0.250 0.750 0.250
0.750 0.250 0.250
0.750 0.750 0.750
```

Results
As for the space group: F-43m, No. 216. The excess energy over the best structure of this formula in the dataset is 0.6609 eV/atom.

---

14.
Density functional theory data (PBE) for crystalline TbC at its relaxed geometry.

Geometry as POSCAR:
```
TbC
1.0
5.460 0.000 0.000
0.000 5.460 0.000
0.000 0.000 5.460
Tb C
4 4
Direct
0.000 0.000 0.000
0.000 0.500 0.500
0.500 0.000 0.500
0.500 0.500 0.000
0.250 0.250 0.250
0.250 0.750 0.750
0.750 0.250 0.750
0.750 0.750 0.250
```

Results
As for the space group: F-43m, No. 216. The total energy comes out at -6.46 eV/atom.

---

15.
Density functional theory data (PBE) for crystalline Na2ZnAu at its relaxed geometry.

Geometry as POSCAR:
```
Na2ZnAu
1.0
6.816 0.000 0.000
0.000 6.816 0.000
0.000 0.000 6.816
Na Zn Au
8 4 4
Direct
0.000 0.000 0.000
0.000 0.500 0.500
0.250 0.250 0.250
0.250 0.750 0.750
0.500 0.000 0.500
0.500 0.500 0.000
0.750 0.250 0.750
0.750 0.750 0.250
0.000 0.000 0.500
0.000 0.500 0.000
0.500 0.000 0.000
0.500 0.500 0.500
0.250 0.250 0.750
0.250 0.750 0.250
0.750 0.250 0.250
0.750 0.750 0.750
```

Results
As for the space group: F-43m, No. 216. The total energy comes out at -1.95 eV/atom.

---

16.
Density functional theory data (PBE) for crystalline Gd3Ta3Mo2N12 at its relaxed geometry.

Geometry as POSCAR:
```
Gd3Ta3Mo2N12
1.0
-6.420 6.420 6.420
6.420 -6.420 6.420
6.420 6.420 -6.420
Gd Ta Mo N
12 12 8 48
Direct
0.125 0.250 0.375
0.125 0.375 0.750
0.250 0.375 0.125
0.250 0.875 0.625
0.375 0.125 0.250
0.375 0.750 0.125
0.625 0.250 0.875
0.625 0.875 0.750
0.750 0.125 0.375
0.750 0.625 0.875
0.875 0.625 0.250
0.875 0.750 0.625
0.125 0.750 0.875
0.125 0.875 0.250
0.250 0.125 0.875
0.250 0.625 0.375
0.375 0.250 0.625
0.375 0.625 0.750
0.625 0.375 0.250
0.625 0.750 0.375
0.750 0.375 0.625
0.750 0.875 0.125
0.875 0.125 0.750
0.875 0.250 0.125
0.000 0.000 0.000
0.000 0.000 0.500
0.000 0.500 0.000
0.000 0.500 0.500
0.500 0.000 0.000
0.500 0.000 0.500
0.500 0.500 0.000
0.500 0.500 0.500
0.023 0.200 0.116
0.023 0.324 0.907
0.084 0.700 0.676
0.084 0.884 0.407
0.093 0.616 0.416
0.093 0.977 0.676
0.116 0.023 0.200
0.116 0.593 0.916
0.176 0.200 0.584
0.176 0.477 0.593
0.200 0.116 0.023
0.200 0.584 0.176
0.300 0.324 0.916
0.300 0.477 0.384
0.324 0.907 0.023
0.324 0.916 0.300
0.384 0.300 0.477
0.384 0.584 0.907
0.407 0.084 0.884
0.407 0.824 0.523
0.416 0.093 0.616
0.416 0.824 0.800
0.477 0.384 0.300
0.477 0.593 0.176
0.523 0.407 0.824
0.523 0.616 0.700
0.584 0.176 0.200
0.584 0.907 0.384
0.593 0.176 0.477
0.593 0.916 0.116
0.616 0.416 0.093
0.616 0.700 0.523
0.676 0.084 0.700
0.676 0.093 0.977
0.700 0.523 0.616
0.700 0.676 0.084
0.800 0.416 0.824
0.800 0.884 0.977
0.824 0.523 0.407
0.824 0.800 0.416
0.884 0.407 0.084
0.884 0.977 0.800
0.907 0.023 0.324
0.907 0.384 0.584
0.916 0.116 0.593
0.916 0.300 0.324
0.977 0.676 0.093
0.977 0.800 0.884
```

Results
As for the space group: Ia-3d, No. 230. The total energy comes out at -9.45 eV/atom.

---

17.
Density functional theory data (PBE) for crystalline AcErSn at its relaxed geometry.

Geometry as POSCAR:
```
AcErSn
1.0
7.799 0.000 0.000
0.000 7.799 0.000
0.000 0.000 7.799
Ac Er Sn
4 4 4
Direct
0.000 0.000 0.000
0.000 0.500 0.500
0.500 0.000 0.500
0.500 0.500 0.000
0.250 0.250 0.750
0.250 0.750 0.250
0.750 0.250 0.250
0.750 0.750 0.750
0.250 0.250 0.250
0.250 0.750 0.750
0.750 0.250 0.750
0.750 0.750 0.250
```

Results
As for the space group: F-43m, No. 216. The excess energy over the best structure of this formula in the dataset is 0.6425 eV/atom.

---

18.
Density functional theory data (PBE) for crystalline NbGaFeHg at its relaxed geometry.

Geometry as POSCAR:
```
NbGaFeHg
1.0
6.436 0.000 0.000
0.000 6.436 0.000
0.000 0.000 6.436
Nb Ga Fe Hg
4 4 4 4
Direct
0.000 0.000 0.000
0.000 0.500 0.500
0.500 0.000 0.500
0.500 0.500 0.000
0.000 0.000 0.500
0.000 0.500 0.000
0.500 0.000 0.000
0.500 0.500 0.500
0.250 0.250 0.750
0.250 0.750 0.250
0.750 0.250 0.250
0.750 0.750 0.750
0.250 0.250 0.250
0.250 0.750 0.750
0.750 0.250 0.750
0.750 0.750 0.250
```

Results
As for the space group: F-43m, No. 216. The excess energy over the best structure of this formula in the dataset is 0.0337 eV/atom.

---

19.
Density functional theory data (PBE) for crystalline KZrCu3S4 at its relaxed geometry.

Geometry as POSCAR:
```
KZrCu3S4
1.0
5.971 0.000 0.000
0.000 5.971 0.000
0.000 0.000 5.971
K Zr Cu S
1 1 3 4
Direct
0.000 0.000 0.000
0.500 0.500 0.500
0.000 0.500 0.500
0.500 0.000 0.500
0.500 0.500 0.000
0.271 0.271 0.271
0.271 0.729 0.729
0.729 0.271 0.729
0.729 0.729 0.271
```

Results
As for the space group: P-43m, No. 215. The excess energy over the best structure of this formula in the dataset is 0.0858 eV/atom.

---

20.
Density functional theory data (PBE) for crystalline HfAgMo2 at its relaxed geometry.

Geometry as POSCAR:
```
HfAgMo2
1.0
6.529 0.000 0.000
0.000 6.529 0.000
0.000 0.000 6.529
Hf Ag Mo
4 4 8
Direct
0.000 0.000 0.000
0.000 0.500 0.500
0.500 0.000 0.500
0.500 0.500 0.000
0.250 0.250 0.250
0.250 0.750 0.750
0.750 0.250 0.750
0.750 0.750 0.250
0.000 0.000 0.500
0.000 0.500 0.000
0.250 0.250 0.750
0.250 0.750 0.250
0.500 0.000 0.000
0.500 0.500 0.500
0.750 0.250 0.250
0.750 0.750 0.750
```

Results
The value obtained for the formation enthalpy at 0 K is 0.24 eV/atom. As for the space group: F-43m, No. 216.

---

21.
Density functional theory data (PBE) for crystalline Hf4CoP at its relaxed geometry.

Geometry as POSCAR:
```
Hf4CoP
1.0
6.337 0.000 0.000
0.000 6.337 0.000
0.000 0.000 5.344
Hf Co P
8 2 2
Direct
0.158 0.331 0.000
0.158 0.669 0.500
0.331 0.158 0.500
0.331 0.842 0.000
0.669 0.158 0.000
0.669 0.842 0.500
0.842 0.331 0.500
0.842 0.669 0.000
0.000 0.000 0.250
0.000 0.000 0.750
0.500 0.500 0.250
0.500 0.500 0.750
```

Results
As for the space group: P4/mcc, No. 124. The total energy comes out at -9.34 eV/atom.

---

no.,calculated density (g cm⁻³)
1,11.1
2,4.7
3,9.6
4,7.5
5,12.8
6,5.6
7,5.1
8,6.0
9,11.1
10,5.8
11,15.2
12,6.2
13,9.8
14,7.0
15,6.5
16,8.6
17,7.2
18,10.4
19,3.5
20,11.4
21,12.4